[1]
DFT (GGA-PBE) results for InSN2F after structural relaxation.

Cell: 4.1237 4.1237 3.9840 Å, 90.00 90.00 90.00°
Fractional coordinates of all 5 atoms:
In 0.5000 0.5000 0.5000
S 0.0000 0.0000 0.5000
N 0.5000 0.0000 0.0000
N 0.0000 0.5000 0.0000
F 0.0000 0.0000 0.0000

formation energy (no corrections)	1904	meV per atom
E_tot	-0.233	Ry per atom
crystal system	tetragonal

[2]
DFT (GGA-PBE) results for BaCeTl after structural relaxation.

Cell: 5.0454 5.0454 9.0496 Å, 90.00 90.00 90.00°
Fractional coordinates of all 6 atoms:
Ce 0.0000 0.0000 0.5000
Ce 0.5000 0.5000 0.5000
Ba 0.5000 0.0000 0.1410
Ba 0.0000 0.5000 0.8590
Tl 0.5000 0.0000 0.7367
Tl 0.0000 0.5000 0.2633

calculated formation energy	-0.180	eV/atom
E_tot	-0.264	Ry per atom
crystal system	tetragonal

[3]
DFT (GGA-PBE) results for ReAsI2N after structural relaxation.

Cell: 5.5486 5.5486 3.7701 Å, 90.00 90.00 90.00°
Fractional coordinates of all 5 atoms:
Re 0.0000 0.0000 0.0000
As 0.5000 0.5000 0.5000
I 0.0000 0.5000 0.0000
I 0.5000 0.0000 0.0000
N 0.0000 0.0000 0.5000

formation energy (no corrections)	710	meV per atom
E_tot	-0.367	Ry per atom
crystal system	tetragonal

[4]
DFT (GGA-PBE) results for Ac2AsH after structural relaxation.

Cell: 5.2747 5.2747 5.2747 Å, 60.00 60.00 60.00°
Fractional coordinates of all 4 atoms:
Ac 0.2500 0.2500 0.2500
Ac 0.7500 0.7500 0.7500
H 0.0000 0.0000 0.0000
As 0.5000 0.5000 0.5000

E_tot	-0.340	Ry per atom
crystal system	cubic

[5]
DFT (GGA-PBE) results for TlPW2 after structural relaxation.

Cell: 5.4339 5.4339 4.5243 Å, 90.00 90.00 146.95°
Fractional coordinates of all 4 atoms:
W 0.8926 0.1074 0.0000
W 0.3010 0.6990 0.5000
Tl 0.5645 0.4355 0.5000
P 0.2139 0.7861 0.0000

calculated formation energy	0.486	eV/atom
E_tot	-0.583	Ry per atom
crystal system	orthorhombic

[6]
DFT (GGA-PBE) results for Ho4SbAu after structural relaxation.

Cell: 7.1939 7.2039 7.1717 Å, 90.00 90.41 90.00°
Fractional coordinates of all 12 atoms:
Ho 0.3326 0.3364 0.3567
Ho 0.3557 0.8544 0.1626
Ho 0.8326 0.1636 0.3567
Ho 0.1443 0.3544 0.8374
Ho 0.6443 0.1456 0.8374
Ho 0.1674 0.8364 0.6433
Ho 0.8557 0.6456 0.1626
Ho 0.6674 0.6636 0.6433
Au 0.5000 0.0000 0.5000
Au 0.0000 0.5000 0.5000
Sb 0.5000 0.5000 0.0000
Sb 0.0000 0.0000 0.0000

formation energy (no corrections)	-450	meV per atom
E_tot	-0.348	Ry per atom
crystal system	monoclinic

- Among the records above, which one has the lowest E_tot?
  TlPW2